No. 1
Entry from Alexandria via LeMat-Bulk: a relaxed structure of Y2W2O9 (GGA+U).

Summary:
E: -8.1427 eV/atom

a = 23.8946 Å, b = 5.3238 Å, c = 5.5436 Å
α = 90.00°, β = 90.00°, γ = 90.00°
Closest atoms and distances in Å follow each position.
Space group Pbcn (No. 60)
One atom of each set of equivalent atoms:
1 Y 0.2028 0.2206 0.0623 (multiplicity 8)  6 O 2.21-2.39
2 W 0.0765 0.2504 0.6753 (multiplicity 8)  4 O 1.83-1.95
3 O 0.0000 0.3502 0.7500 (multiplicity 4)  2 W 1.95
4 O 0.0579 0.0440 0.4250 (multiplicity 8)  1 W 1.83
5 O 0.0981 0.4631 0.9958 (multiplicity 8)  1 W 1.89
6 O 0.1487 0.1198 0.7133 (multiplicity 8)  1 W 1.87
7 O 0.2403 0.4958 0.3188 (multiplicity 8)  4 Y 2.21-2.30

No. 2
Entry from Alexandria via LeMat-Bulk: a relaxed structure of YW2O4 (GGA+U).

Summary:
E: -7.8124 eV/atom

a = 8.5392 Å, b = 10.0755 Å, c = 5.9998 Å
α = 90.00°, β = 133.81°, γ = 90.00°
Closest atoms and distances in Å follow each position.
Space group C2/c (No. 15)
One atom of each set of equivalent atoms:
1 Y 0.0000 0.1224 0.2500 (multiplicity 4)  8 O 2.32-2.58
2 W 0.0000 0.5000 0.0000 (multiplicity 4)  4 O 2.14-2.16
3 W 0.2500 0.2500 0.0000 (multiplicity 4)  4 O 2.06-2.08
4 O 0.1816 0.0725 0.0969 (multiplicity 8)  2 W 2.08-2.16
5 O 0.1843 0.3245 0.2483 (multiplicity 8)  2 W 2.06-2.14

No. 3
Entry from Alexandria via LeMat-Bulk: a relaxed structure of Y2W2O9 (GGA+U).

Summary:
E: -8.1369 eV/atom

a = 11.8101 Å, b = 15.6873 Å, c = 7.1994 Å
α = 90.00°, β = 90.00°, γ = 90.00°
Closest atoms and distances in Å follow each position.
Space group C222_1 (No. 20)
One atom of each set of equivalent atoms:
1 Y 0.0000 0.2248 0.2500 (multiplicity 4)  6 O 2.25-2.47
2 Y 0.0000 0.2246 0.7500 (multiplicity 4)  6 O 2.25-2.47
3 Y 0.2335 0.3547 0.9996 (multiplicity 8)  4 O 2.10-2.35
4 W 0.0000 0.5001 0.2500 (multiplicity 4)  6 O 1.93
5 W 0.0482 0.0000 0.5000 (multiplicity 4)  5 O 1.83-1.90
6 W 0.2291 0.3775 0.4998 (multiplicity 8)  6 O 1.87-2.04
7 O 0.0000 0.9998 0.2500 (multiplicity 4)  2 W 1.89
8 O 0.0324 0.1202 0.4997 (multiplicity 8)  1 W 1.90
9 O 0.0592 0.5000 0.0000 (multiplicity 4)  2 W 1.93
10 O 0.0800 0.2865 0.9999 (multiplicity 8)  3 Y 2.10-2.25
11 O 0.1102 0.4136 0.3097 (multiplicity 8)  2 W 1.93-2.04
12 O 0.1102 0.4135 0.6903 (multiplicity 8)  2 W 1.93-2.04
13 O 0.1565 0.2673 0.4996 (multiplicity 8)  1 W 1.93
14 O 0.1808 0.1488 0.2048 (multiplicity 8)  1 W 1.87
15 O 0.1807 0.1487 0.7947 (multiplicity 8)  1 W 1.87
16 O 0.2028 0.0000 0.5000 (multiplicity 4)  1 W 1.83
17 O 0.2247 0.0000 0.0000 (multiplicity 4)  2 W 2.00

No. 4
Entry from Alexandria via LeMat-Bulk: a relaxed structure of Y2W2O9 (GGA+U).

Summary:
E: -8.1788 eV/atom

a = 7.6878 Å, b = 9.7659 Å, c = 9.2406 Å
α = 90.00°, β = 108.24°, γ = 90.00°
Closest atoms and distances in Å follow each position.
Space group P2_1/c (No. 14)
One atom of each set of equivalent atoms:
1 Y 0.2026 0.0536 0.4269 (multiplicity 4)  7 O 2.27-2.52
2 Y 0.2728 0.0583 0.8449 (multiplicity 4)  7 O 2.30-2.48
3 W 0.0816 0.7288 0.4662 (multiplicity 4)  5 O 1.85-2.05
4 W 0.4355 0.7490 0.2651 (multiplicity 4)  5 O 1.84-2.05
5 O 0.0064 0.5940 0.3197 (multiplicity 4)  1 W 1.85
6 O 0.0533 0.1019 0.6103 (multiplicity 4)  1 W 1.96
7 O 0.0936 0.2042 0.9330 (multiplicity 4)  1 W 1.88
8 O 0.2337 0.6337 0.1411 (multiplicity 4)  2 W 1.97-2.14
9 O 0.2519 0.6775 0.8653 (multiplicity 4)  2 W 2.05
10 O 0.2801 0.6195 0.5847 (multiplicity 4)  1 W 1.90
11 O 0.3901 0.2123 0.3360 (multiplicity 4)  1 W 1.89
12 O 0.4263 0.0944 0.6495 (multiplicity 4)  1 W 1.89
13 O 0.4939 0.1116 0.0920 (multiplicity 4)  1 W 1.84

No. 5
Entry from Alexandria via LeMat-Bulk: a relaxed structure of YWO2 (GGA+U).

Summary:
E: -7.8979 eV/atom

a = 3.4106 Å, b = 3.4106 Å, c = 19.4093 Å
α = 90.00°, β = 90.00°, γ = 120.00°
Closest atoms and distances in Å follow each position.
Space group R-3m (No. 166, hexagonal axes)
One atom of each set of equivalent atoms:
1 Y 0.0000 0.0000 0.0000 (multiplicity 3)  6 O 2.26
2 W 0.0000 0.0000 0.5000 (multiplicity 3)  2 O 2.13
3 O 0.0000 0.0000 0.3902 (multiplicity 6)  1 W 2.13, 3 Y 2.26

No. 6
Entry from Alexandria via LeMat-Bulk: a relaxed structure of YWO2 (GGA+U).

Summary:
E: -7.6150 eV/atom

a = 6.2531 Å, b = 6.2531 Å, c = 11.9044 Å
α = 90.00°, β = 90.00°, γ = 90.00°
Closest atoms and distances in Å follow each position.
Space group I4_1/amd (No. 141, origin choice 2)
One atom of each set of equivalent atoms:
1 Y 0.0000 0.0000 0.0000 (multiplicity 8)  6 O 2.33-2.39
2 W 0.0000 0.0000 0.5000 (multiplicity 8)  4 O 2.22
3 O 0.0000 0.0203 0.1957 (multiplicity 16)  2 W 2.22, 3 Y 2.33-2.39

No. 7
Entry from Alexandria via LeMat-Bulk: a relaxed structure of YbWO5 (GGA+U).

Summary:
E: -6.7868 eV/atom

a = 5.3420 Å, b = 12.8590 Å, c = 7.0199 Å
α = 90.00°, β = 117.59°, γ = 90.00°
Closest atoms and distances in Å follow each position.
Space group P2_1/c (No. 14)
One atom of each set of equivalent atoms:
1 Yb 0.1433 0.0578 0.2833 (multiplicity 4)  8 O 2.31-2.53
2 W 0.3757 0.1376 0.8436 (multiplicity 4)  4 O 1.80-1.92
3 O 0.0189 0.0865 0.5538 (multiplicity 4)  1 W 2.15, 1 Yb 2.31, 2 O 2.33-2.36
4 O 0.1645 0.0715 0.9576 (multiplicity 4)  1 W 1.86
5 O 0.2865 0.6383 0.4173 (multiplicity 4)  1 W 1.81
6 O 0.2906 0.2268 0.2895 (multiplicity 4)  1 W 1.80
7 O 0.4942 0.5694 0.8374 (multiplicity 4)  1 W 1.92

No. 8
Entry from Alexandria via LeMat-Bulk: a relaxed structure of ZnW3O (GGA+U).

Summary:
E: -4.8670 eV/atom

a = 4.1889 Å, b = 4.1889 Å, c = 4.1889 Å
α = 90.00°, β = 90.00°, γ = 90.00°
Closest atoms and distances in Å follow each position.
Space group Pm-3m (No. 221)
One atom of each set of equivalent atoms:
1 Zn 0.0000 0.0000 0.0000 (multiplicity 1)  12 W 2.96
2 W 0.0000 0.5000 0.5000 (multiplicity 3)  2 O 2.09
3 O 0.5000 0.5000 0.5000 (multiplicity 1)  6 W 2.09